(1)
{
  "formula": "PuNpTc2",
  "functional": "PBE-GGA",
  "state": "optimized geometry",
  "crystal_system": "orthorhombic",
  "relative_energy_mev_per_atom": 76.0,
  "mass_density_kg_m3": 15596,
  "magnetic_moment_mub_per_cell": 17.87,
  "cell": [[5.4861, 0.0000, 0.0000], [0.0000, 9.2056, 0.0000], [0.0000, 0.0000, 5.7090]],
  "species": ["Pu", "Pu", "Pu", "Pu", "Np", "Np", "Np", "Np", "Tc", "Tc", "Tc", "Tc", "Tc", "Tc", "Tc", "Tc"],
  "fractional_positions": [[0.0310, 0.2500, 0.1022], [0.4690, 0.7500, 0.6022], [0.5310, 0.2500, 0.3978], [0.9690, 0.7500, 0.8978], [0.0295, 0.7500, 0.4417], [0.4705, 0.2500, 0.9417], [0.5295, 0.7500, 0.0583], [0.9705, 0.2500, 0.5583], [0.1834, 0.0328, 0.6624], [0.1834, 0.4672, 0.6624], [0.3166, 0.5329, 0.1624], [0.3166, 0.9672, 0.1624], [0.6834, 0.0328, 0.8376], [0.6834, 0.4672, 0.8376], [0.8166, 0.5329, 0.3376], [0.8166, 0.9672, 0.3376]]
}

=====

(2)
{
  "formula": "PuNp2Tc",
  "functional": "PBE-GGA",
  "state": "optimized geometry",
  "final_energy_ev_per_cell": -49.78,
  "crystal_system": "cubic",
  "mass_density_kg_m3": 18772,
  "magnetic_moment_mub_per_cell": 2.21,
  "cell": [[0.0000, 3.3047, 3.3047], [3.3047, 0.0000, 3.3047], [3.3047, 3.3047, 0.0000]],
  "species": ["Pu", "Np", "Np", "Tc"],
  "fractional_positions": [[0.0000, 0.0000, 0.0000], [0.2500, 0.2500, 0.2500], [0.7500, 0.7500, 0.7500], [0.5000, 0.5000, 0.5000]]
}

=====

(3)
{
  "formula": "PuNpUTc",
  "functional": "PBE-GGA",
  "state": "optimized geometry",
  "final_energy_ev_per_cell": -48.49,
  "crystal_system": "cubic",
  "mass_density_kg_m3": 18407,
  "magnetic_moment_mub_per_cell": 1.75,
  "cell": [[0.0000, 3.3278, 3.3278], [3.3278, 0.0000, 3.3278], [3.3278, 3.3278, 0.0000]],
  "species": ["Pu", "Np", "U", "Tc"],
  "fractional_positions": [[0.0000, 0.0000, 0.0000], [0.7500, 0.7500, 0.7500], [0.5000, 0.5000, 0.5000], [0.2500, 0.2500, 0.2500]]
}

=====

(4)
{
  "formula": "PuNpTe2",
  "functional": "PBE-GGA",
  "state": "optimized geometry",
  "crystal_system": "trigonal",
  "relative_energy_mev_per_atom": 0.0,
  "mass_density_kg_m3": 10051,
  "magnetic_moment_mub_per_cell": 10.43,
  "e_form_raw_kj_per_mol_atoms": -79.0,
  "cell": [[2.2058, 1.2735, 7.2159], [-2.2058, 1.2735, 7.2159], [0.0000, -2.5471, 7.2159]],
  "species": ["Pu", "Np", "Te", "Te"],
  "fractional_positions": [[0.0000, 0.0000, 0.0000], [0.5000, 0.5000, 0.5000], [0.2495, 0.2495, 0.2495], [0.7505, 0.7505, 0.7505]]
}

=====

(5)
{
  "formula": "PuNpTe2",
  "functional": "PBE-GGA",
  "state": "optimized geometry",
  "crystal_system": "trigonal",
  "relative_energy_mev_per_atom": 63.3,
  "mass_density_kg_m3": 9897,
  "magnetic_moment_mub_per_cell": 10.90,
  "e_form_raw_kj_per_mol_atoms": -72.9,
  "cell": [[2.1321, 1.2310, 7.8441], [-2.1321, 1.2310, 7.8441], [0.0000, -2.4620, 7.8441]],
  "species": ["Pu", "Np", "Te", "Te"],
  "fractional_positions": [[0.0000, 0.0000, 0.0000], [0.8312, 0.8312, 0.8312], [0.4142, 0.4142, 0.4142], [0.5833, 0.5833, 0.5833]]
}

=====

(6)
{
  "formula": "PuNpTe",
  "functional": "PBE-GGA",
  "state": "optimized geometry",
  "crystal_system": "orthorhombic",
  "mass_density_kg_m3": 15036,
  "magnetic_moment_mub_per_cell": 4.82,
  "e_form_raw_kj_per_mol_atoms": -26.2,
  "cell": [[12.3584, 0.0000, 0.0000], [0.0000, 3.5720, 0.0000], [0.0000, 0.0000, 6.0903]],
  "species": ["Pu", "Pu", "Pu", "Pu", "Np", "Np", "Np", "Np", "Te", "Te", "Te", "Te"],
  "fractional_positions": [[0.1371, 0.2500, 0.1930], [0.3629, 0.7500, 0.6930], [0.6371, 0.2500, 0.3070], [0.8629, 0.7500, 0.8070], [0.2219, 0.7500, 0.9775], [0.2781, 0.2500, 0.4775], [0.7219, 0.7500, 0.5225], [0.7781, 0.2500, 0.0225], [0.0608, 0.2500, 0.7129], [0.4392, 0.7500, 0.2129], [0.5608, 0.2500, 0.7871], [0.9392, 0.7500, 0.2871]]
}

=====

(7)
{
  "formula": "PuNpTe3",
  "functional": "PBE-GGA",
  "state": "optimized geometry",
  "crystal_system": "orthorhombic",
  "relative_energy_mev_per_atom": 0.0,
  "mass_density_kg_m3": 8848,
  "magnetic_moment_mub_per_cell": 18.42,
  "e_form_raw_kj_per_mol_atoms": -66.0,
  "cell": [[-2.9992, 5.6603, 4.7748], [2.9992, -5.6603, 4.7748], [2.9992, 5.6603, -4.7748]],
  "species": ["Pu", "Pu", "Np", "Np", "Te", "Te", "Te", "Te", "Te", "Te"],
  "fractional_positions": [[0.3108, 0.0608, 0.2500], [0.6892, 0.9392, 0.7500], [0.0000, 0.5000, 0.5000], [0.5000, 0.5000, 0.0000], [0.1205, 0.1638, 0.9567], [0.2929, 0.8362, 0.4567], [0.3560, 0.6060, 0.7500], [0.6440, 0.3940, 0.2500], [0.7071, 0.1638, 0.5433], [0.8795, 0.8362, 0.0433]]
}

=====

(8)
{
  "formula": "Pu2NpTe4",
  "functional": "PBE-GGA",
  "state": "optimized geometry",
  "crystal_system": "orthorhombic",
  "mass_density_kg_m3": 8837,
  "magnetic_moment_mub_per_cell": 30.00,
  "e_form_raw_kj_per_mol_atoms": -85.4,
  "cell": [[2.1556, -7.2035, 0.0000], [2.1556, 7.2035, 0.0000], [0.0000, 0.0000, 14.9497]],
  "species": ["Pu", "Pu", "Pu", "Pu", "Np", "Np", "Te", "Te", "Te", "Te", "Te", "Te", "Te", "Te"],
  "fractional_positions": [[0.1360, 0.8640, 0.5661], [0.1360, 0.8640, 0.9339], [0.8640, 0.1360, 0.0661], [0.8640, 0.1360, 0.4339], [0.3834, 0.6166, 0.7500], [0.6166, 0.3834, 0.2500], [0.0395, 0.9605, 0.7500], [0.2220, 0.7780, 0.1271], [0.2220, 0.7780, 0.3729], [0.5000, 0.5000, 0.0000], [0.5000, 0.5000, 0.5000], [0.7780, 0.2220, 0.6271], [0.7780, 0.2220, 0.8729], [0.9605, 0.0395, 0.2500]]
}

=====

(9)
{
  "formula": "PuNpTe3",
  "functional": "PBE-GGA",
  "state": "optimized geometry",
  "crystal_system": "orthorhombic",
  "relative_energy_mev_per_atom": 222.8,
  "mass_density_kg_m3": 7380,
  "magnetic_moment_mub_per_cell": 19.61,
  "e_form_raw_kj_per_mol_atoms": -44.5,
  "cell": [[3.3497, -9.7972, 0.0000], [3.3497, 9.7972, 0.0000], [0.0000, 0.0000, 5.9227]],
  "species": ["Pu", "Pu", "Np", "Np", "Te", "Te", "Te", "Te", "Te", "Te"],
  "fractional_positions": [[0.2065, 0.7935, 0.0000], [0.7935, 0.2065, 0.0000], [0.3805, 0.6195, 0.5000], [0.6195, 0.3805, 0.5000], [0.0000, 0.5000, 0.5000], [0.2256, 0.2256, 0.5000], [0.3639, 0.6361, 0.0000], [0.5000, 0.0000, 0.5000], [0.6361, 0.3639, 0.0000], [0.7744, 0.7744, 0.5000]]
}

=====

(10)
{
  "formula": "PuNp2Te4",
  "functional": "PBE-GGA",
  "state": "optimized geometry",
  "crystal_system": "orthorhombic",
  "mass_density_kg_m3": 8821,
  "magnetic_moment_mub_per_cell": 27.97,
  "e_form_raw_kj_per_mol_atoms": -72.3,
  "cell": [[2.1618, -7.1562, 0.0000], [2.1618, 7.1562, 0.0000], [0.0000, 0.0000, 14.9483]],
  "species": ["Pu", "Pu", "Np", "Np", "Np", "Np", "Te", "Te", "Te", "Te", "Te", "Te", "Te", "Te"],
  "fractional_positions": [[0.1143, 0.8857, 0.7500], [0.8857, 0.1143, 0.2500], [0.3638, 0.6362, 0.5651], [0.3638, 0.6362, 0.9349], [0.6362, 0.3638, 0.0651], [0.6362, 0.3638, 0.4349], [0.0000, 0.0000, 0.0000], [0.0000, 0.0000, 0.5000], [0.2768, 0.7232, 0.1262], [0.2768, 0.7232, 0.3738], [0.4548, 0.5452, 0.7500], [0.5452, 0.4548, 0.2500], [0.7232, 0.2768, 0.6262], [0.7232, 0.2768, 0.8738]]
}

=====

(11)
{
  "formula": "PuNpTe6",
  "functional": "PBE-GGA",
  "state": "optimized geometry",
  "crystal_system": "orthorhombic",
  "mass_density_kg_m3": 8263,
  "magnetic_moment_mub_per_cell": 8.53,
  "e_form_raw_kj_per_mol_atoms": -60.5,
  "cell": [[4.3756, 0.0000, 0.0000], [0.0000, 2.1872, 13.0879], [0.0000, -2.1872, 13.0879]],
  "species": ["Pu", "Np", "Te", "Te", "Te", "Te", "Te", "Te"],
  "fractional_positions": [[0.0000, 0.0000, 0.0000], [0.5000, 0.6557, 0.6557], [0.0000, 0.1238, 0.1238], [0.0000, 0.4068, 0.4068], [0.0000, 0.7476, 0.7476], [0.5000, 0.2475, 0.2475], [0.5000, 0.5331, 0.5331], [0.5000, 0.9067, 0.9067]]
}

=====

(12)
{
  "formula": "PuNpTe2",
  "functional": "PBE-GGA",
  "state": "optimized geometry",
  "crystal_system": "tetragonal",
  "relative_energy_mev_per_atom": 51.6,
  "mass_density_kg_m3": 11325,
  "magnetic_moment_mub_per_cell": 10.92,
  "e_form_raw_kj_per_mol_atoms": -74.1,
  "cell": [[3.7778, 0.0000, 0.0000], [0.0000, 3.7778, 0.0000], [0.0000, 0.0000, 7.5638]],
  "species": ["Pu", "Np", "Te", "Te"],
  "fractional_positions": [[0.0000, 0.0000, 0.0000], [0.0000, 0.0000, 0.5000], [0.5000, 0.5000, 0.2526], [0.5000, 0.5000, 0.7474]]
}

=====

Number 3 is which compound?
PuNpUTc

=====

What did the fifth record say?
{
  "formula": "PuNpTe2",
  "functional": "PBE-GGA",
  "state": "optimized geometry",
  "crystal_system": "trigonal",
  "relative_energy_mev_per_atom": 63.3,
  "mass_density_kg_m3": 9897,
  "magnetic_moment_mub_per_cell": 10.90,
  "e_form_raw_kj_per_mol_atoms": -72.9,
  "cell": [[2.1321, 1.2310, 7.8441], [-2.1321, 1.2310, 7.8441], [0.0000, -2.4620, 7.8441]],
  "species": ["Pu", "Np", "Te", "Te"],
  "fractional_positions": [[0.0000, 0.0000, 0.0000], [0.8312, 0.8312, 0.8312], [0.4142, 0.4142, 0.4142], [0.5833, 0.5833, 0.5833]]
}

=====

Please write out number 1 again, unchanged.
{
  "formula": "PuNpTc2",
  "functional": "PBE-GGA",
  "state": "optimized geometry",
  "crystal_system": "orthorhombic",
  "relative_energy_mev_per_atom": 76.0,
  "mass_density_kg_m3": 15596,
  "magnetic_moment_mub_per_cell": 17.87,
  "cell": [[5.4861, 0.0000, 0.0000], [0.0000, 9.2056, 0.0000], [0.0000, 0.0000, 5.7090]],
  "species": ["Pu", "Pu", "Pu", "Pu", "Np", "Np", "Np", "Np", "Tc", "Tc", "Tc", "Tc", "Tc", "Tc", "Tc", "Tc"],
  "fractional_positions": [[0.0310, 0.2500, 0.1022], [0.4690, 0.7500, 0.6022], [0.5310, 0.2500, 0.3978], [0.9690, 0.7500, 0.8978], [0.0295, 0.7500, 0.4417], [0.4705, 0.2500, 0.9417], [0.5295, 0.7500, 0.0583], [0.9705, 0.2500, 0.5583], [0.1834, 0.0328, 0.6624], [0.1834, 0.4672, 0.6624], [0.3166, 0.5329, 0.1624], [0.3166, 0.9672, 0.1624], [0.6834, 0.0328, 0.8376], [0.6834, 0.4672, 0.8376], [0.8166, 0.5329, 0.3376], [0.8166, 0.9672, 0.3376]]
}